PuNpPaSn: optimized geometry, PBE-GGA.

## Properties
Final energy, eV per atom: -10.0336
Formation energy from the elements, eV/atom: 0.159

Lattice parameters (Å, degrees): 7.228 7.228 7.228 90.00 90.00 90.00
Space group F-43m (No. 216)
Inequivalent atoms, fractional coordinates:
Pu 0.000 0.000 0.000
Np 0.250 0.250 0.250
Pa 0.000 0.000 0.500
Sn 0.250 0.250 0.750